# 1
Material: LaScPaO6
Method: DFT, PBE
State: relaxed

- N(E_F): 6.3 states/eV/f.u.
- Formation energy from raw total energies: -305 kJ per mole of atoms

a = 4.720 Å, b = 5.751 Å, c = 5.751 Å
α = 120.00°, β = 90.00°, γ = 90.00°
Site moments in Bohr magnetons follow the coordinates.
Fractional coordinates of all 9 atoms:
1 O 0.742 0.668 0.700  0.10
2 O 0.742 0.033 0.332  0.10
3 Pa 0.000 0.333 0.667  -0.02
4 O 0.258 0.300 0.332  0.10
5 O 0.742 0.300 0.967  0.10
6 O 0.258 0.033 0.700  0.10
7 O 0.258 0.668 0.967  0.10
8 Sc 0.500 0.000 0.000  -0.01
9 La 0.500 0.667 0.333  0.00

# 2
Material: CaMg6SiO8
Method: DFT, PBE
State: relaxed

- Formation energy from raw total energies: -229 kJ per mole of atoms
- E above lowest polymorph: 0 meV/atom

a = 4.408 Å, b = 4.408 Å, c = 8.820 Å
α = 90.00°, β = 90.00°, γ = 90.00°
Fractional coordinates of all 16 atoms:
1 O 0.000 0.000 0.265
2 O 0.000 0.500 0.500
3 Si 0.500 0.500 0.000
4 Mg 0.500 0.000 0.739
5 O 0.500 0.500 0.264
6 Mg 0.000 0.000 0.500
7 O 0.000 0.500 0.000
8 Mg 0.500 0.500 0.500
9 Mg 0.500 0.000 0.261
10 Mg 0.000 0.500 0.739
11 Mg 0.000 0.500 0.261
12 Ca 0.000 0.000 0.000
13 O 0.500 0.000 0.000
14 O 0.500 0.000 0.500
15 O 0.000 0.000 0.735
16 O 0.500 0.500 0.736

# 3
Material: Tm2MnZn3Cu12
Method: DFT, PBE
State: relaxed

- N(E_F): 7.2 states/eV/f.u.
- Formation enthalpy at 0 K: 15.2 kJ/mol of atoms

a = 9.526 Å, b = 9.526 Å, c = 9.526 Å
α = 37.93°, β = 37.93°, γ = 37.93°
Site moments in Bohr magnetons follow the coordinates.
Fractional coordinates of all 18 atoms:
1 Zn 0.500 0.000 0.000  0.00
2 Zn 0.000 0.500 0.000  0.00
3 Cu 0.419 0.803 0.419  0.00
4 Tm 0.358 0.358 0.358  -0.10
5 Cu 0.574 0.117 0.117  0.03
6 Cu 0.803 0.419 0.419  0.00
7 Cu 0.117 0.117 0.574  0.03
8 Cu 0.426 0.883 0.883  0.03
9 Cu 0.581 0.581 0.197  0.00
10 Cu 0.883 0.883 0.426  0.03
11 Cu 0.419 0.419 0.803  0.00
12 Cu 0.197 0.581 0.581  0.00
13 Mn 0.000 0.000 0.000  3.77
14 Cu 0.581 0.197 0.581  0.00
15 Zn 0.000 0.000 0.500  0.00
16 Tm 0.642 0.642 0.642  -0.10
17 Cu 0.117 0.574 0.117  0.03
18 Cu 0.883 0.426 0.883  0.03

# 4
Material: InNiHg2
Method: DFT, PBE
State: relaxed

- N(E_F): 2.2 states/eV/f.u.
- Formation enthalpy at 0 K: 19.7 kJ/mol of atoms

a = 4.273 Å, b = 4.461 Å, c = 5.709 Å
α = 59.87°, β = 90.00°, γ = 90.00°
Fractional coordinates of all 4 atoms:
1 In 0.500 0.250 0.250
2 Ni 0.500 0.750 0.750
3 Hg 0.000 0.616 0.543
4 Hg 0.000 0.884 0.957

# 5
Material: RbSnHg2Ir
Method: DFT, PBE
State: relaxed

- N(E_F): 1.3 states/eV/f.u.
- Formation enthalpy at 0 K: -12.5 kJ/mol of atoms

a = 5.446 Å, b = 5.446 Å, c = 5.061 Å
α = 90.00°, β = 90.00°, γ = 90.00°
Fractional coordinates of all 5 atoms:
1 Hg 0.500 0.000 0.000
2 Ir 0.000 0.000 0.000
3 Hg 0.000 0.500 0.000
4 Sn 0.000 0.000 0.500
5 Rb 0.500 0.500 0.500

# 6
Material: Ag4Sn2Te5
Method: DFT, PBE
State: relaxed

- N(E_F): 5.6 states/eV/f.u.
- Formation energy from raw total energies: -10 kJ per mole of atoms

a = 4.461 Å, b = 4.461 Å, c = 19.567 Å
α = 83.46°, β = 83.46°, γ = 60.00°
Fractional coordinates of all 11 atoms:
1 Ag 0.585 0.585 0.244
2 Sn 0.866 0.866 0.403
3 Ag 0.317 0.317 0.048
4 Te 0.632 0.632 0.103
5 Ag 0.415 0.415 0.756
6 Sn 0.134 0.134 0.597
7 Ag 0.683 0.683 0.952
8 Te 0.769 0.769 0.692
9 Te 0.500 0.500 0.500
10 Te 0.231 0.231 0.308
11 Te 0.368 0.368 0.897

# 7
Material: Li5Tm
Method: DFT, PBE
State: relaxed

- N(E_F): 3.9 states/eV/f.u.
- Formation enthalpy at 0 K: 10.4 kJ/mol of atoms

a = 3.287 Å, b = 5.244 Å, c = 8.114 Å
α = 108.85°, β = 90.00°, γ = 90.00°
Fractional coordinates of all 6 atoms:
1 Li 0.500 0.185 0.369
2 Li 0.000 0.653 0.305
3 Li 0.500 0.500 0.000
4 Li 0.000 0.347 0.695
5 Li 0.500 0.815 0.631
6 Tm 0.000 0.000 0.000

# 8
Material: Li2H6IrPt
Method: DFT, PBE
State: relaxed

- N(E_F): 2.5 states/eV/f.u.
- VASP energy: -41.76 eV/cell

a = 4.959 Å, b = 4.959 Å, c = 4.954 Å
α = 120.35°, β = 120.35°, γ = 90.10°
Fractional coordinates of all 10 atoms:
1 Ir 0.000 0.001 0.000
2 Pt 0.500 0.501 0.000
3 H 0.755 0.755 0.003
4 Li 0.750 0.252 0.500
5 H 0.754 0.248 0.000
6 H 0.245 0.245 0.995
7 H 0.247 0.754 0.000
8 H 0.243 0.244 0.497
9 H 0.755 0.755 0.503
10 Li 0.251 0.750 0.500

# 9
Material: HfMg2Cu
Method: DFT, PBE
State: relaxed

- N(E_F): 3.9 states/eV/f.u.
- E above lowest polymorph: 249 meV/atom
- Formation enthalpy at 0 K: 28.2 kJ/mol of atoms

a = 4.721 Å, b = 4.721 Å, c = 4.721 Å
α = 60.00°, β = 60.00°, γ = 60.00°
Fractional coordinates of all 4 atoms:
1 Cu 0.000 0.000 0.000
2 Mg 0.750 0.750 0.750
3 Hf 0.500 0.500 0.500
4 Mg 0.250 0.250 0.250

# 10
Material: Zr3AlSi3
Method: DFT, PBE
State: relaxed

- N(E_F): 3.2 states/eV/f.u.
- Formation energy from raw total energies: -38 kJ per mole of atoms
- E above lowest polymorph: 53 meV/atom

a = 8.075 Å, b = 8.075 Å, c = 4.463 Å
α = 90.00°, β = 90.00°, γ = 120.00°
Fractional coordinates of all 14 atoms:
1 Si 0.841 0.044 0.750
2 Si 0.956 0.797 0.750
3 Al 0.333 0.667 0.250
4 Zr 0.909 0.579 0.250
5 Zr 0.421 0.331 0.250
6 Zr 0.579 0.669 0.750
7 Si 0.203 0.159 0.750
8 Zr 0.669 0.091 0.250
9 Si 0.159 0.956 0.250
10 Si 0.044 0.203 0.250
11 Zr 0.091 0.421 0.750
12 Si 0.797 0.841 0.250
13 Zr 0.331 0.909 0.750
14 Al 0.667 0.333 0.750

# 11
Material: ScAlRuRh
Method: DFT, PBE
State: relaxed

- N(E_F): 1.8 states/eV/f.u.
- Formation enthalpy at 0 K: -83.1 kJ/mol of atoms

a = 3.159 Å, b = 4.362 Å, c = 4.361 Å
α = 90.00°, β = 90.00°, γ = 90.00°
Fractional coordinates of all 4 atoms:
1 Sc 0.500 0.500 0.000
2 Rh 0.000 0.500 0.500
3 Al 0.500 0.000 0.500
4 Ru 0.000 0.000 0.000

# 12
Material: CsPa4Re3N12
Method: DFT, PBE
State: relaxed

- N(E_F): 10.8 states/eV/f.u.
- Formation energy from raw total energies: -49 kJ per mole of atoms

a = 7.184 Å, b = 7.184 Å, c = 7.184 Å
α = 109.47°, β = 109.47°, γ = 109.47°
Site moments in Bohr magnetons follow the coordinates.
Fractional coordinates of all 20 atoms:
1 N 0.669 0.835 0.504  0.01
2 Re 0.000 0.500 0.500  0.26
3 N 0.496 0.331 0.165  0.01
4 N 0.504 0.669 0.835  0.01
5 N 0.165 0.496 0.331  0.01
6 N 0.835 0.165 0.331  0.01
7 Re 0.500 0.000 0.500  0.26
8 Pa 0.000 0.500 0.000  0.10
9 N 0.165 0.331 0.835  0.01
10 Pa 0.500 0.500 0.500  0.10
11 Pa 0.500 0.000 0.000  0.10
12 N 0.835 0.669 0.165  0.01
13 Cs 0.000 0.000 0.000  0.00
14 N 0.331 0.165 0.496  0.01
15 N 0.165 0.835 0.669  0.01
16 N 0.669 0.165 0.835  0.01
17 N 0.835 0.504 0.669  0.01
18 Pa 0.000 0.000 0.500  0.10
19 Re 0.500 0.500 0.000  0.26
20 N 0.331 0.835 0.165  0.01

# 13
Material: SrFeMoS2
Method: DFT, PBE
State: relaxed

- N(E_F): 4.0 states/eV/f.u.
- Formation energy from raw total energies: 12 kJ per mole of atoms

a = 4.820 Å, b = 4.453 Å, c = 4.820 Å
α = 90.00°, β = 90.00°, γ = 90.00°
Site moments in Bohr magnetons follow the coordinates.
Fractional coordinates of all 5 atoms:
1 S 0.500 0.000 0.000  0.06
2 Sr 0.500 0.500 0.500  0.06
3 S 0.000 0.000 0.500  0.04
4 Mo 0.000 0.500 0.000  2.11
5 Fe 0.000 0.000 0.000  1.37

# 14
Material: Rb2BaNp2O7
Method: DFT, PBE
State: relaxed

- N(E_F): 9.4 states/eV/f.u.
- Formation energy from raw total energies: -261 kJ per mole of atoms

a = 4.383 Å, b = 4.383 Å, c = 11.888 Å
α = 79.38°, β = 79.38°, γ = 90.00°
Site moments in Bohr magnetons follow the coordinates.
Fractional coordinates of all 12 atoms:
1 O 0.319 0.319 0.363  -0.08
2 O 0.413 0.913 0.174  -0.07
3 Np 0.595 0.595 0.810  2.22
4 O 0.681 0.681 0.637  -0.08
5 Np 0.405 0.405 0.190  2.22
6 Rb 0.808 0.808 0.383  0.00
7 O 0.587 0.087 0.826  -0.07
8 Rb 0.192 0.192 0.617  0.00
9 O 0.500 0.500 0.000  -0.08
10 O 0.913 0.413 0.174  -0.07
11 Ba 0.000 0.000 0.000  0.01
12 O 0.087 0.587 0.826  -0.07

# 15
Material: Zr3TaBe
Method: DFT, PBE
State: relaxed

- N(E_F): 9.4 states/eV/f.u.
- E above lowest polymorph: 0 meV/atom
- Formation enthalpy at 0 K: 54.6 kJ/mol of atoms

a = 4.702 Å, b = 4.702 Å, c = 4.702 Å
α = 90.00°, β = 90.00°, γ = 90.00°
Fractional coordinates of all 5 atoms:
1 Zr 0.500 0.000 0.000
2 Zr 0.000 0.000 0.500
3 Zr 0.000 0.500 0.000
4 Ta 0.500 0.500 0.500
5 Be 0.000 0.000 0.000

# 16
Material: SrGa3Pd
Method: DFT, PBE
State: relaxed

- N(E_F): 3.4 states/eV/f.u.
- Formation enthalpy at 0 K: -31.2 kJ/mol of atoms

a = 4.912 Å, b = 4.912 Å, c = 4.912 Å
α = 90.00°, β = 90.00°, γ = 90.00°
Fractional coordinates of all 5 atoms:
1 Ga 0.000 0.500 0.000
2 Sr 0.500 0.500 0.500
3 Ga 0.500 0.000 0.000
4 Ga 0.000 0.000 0.500
5 Pd 0.000 0.000 0.000

# 17
Material: Tb2Pr2DyEr2
Method: DFT, PBE
State: relaxed

- N(E_F): 11.3 states/eV/f.u.
- Formation enthalpy at 0 K: 8.1 kJ/mol of atoms

a = 3.528 Å, b = 6.133 Å, c = 11.884 Å
α = 71.45°, β = 90.00°, γ = 106.72°
Fractional coordinates of all 7 atoms:
1 Pr 0.330 0.660 0.085
2 Pr 0.670 0.340 0.915
3 Tb 0.550 0.100 0.233
4 Er 0.774 0.547 0.365
5 Tb 0.450 0.900 0.767
6 Dy 0.000 0.000 0.500
7 Er 0.226 0.453 0.635

# 18
Material: CsSi2Te8Rh
Method: DFT, PBE
State: relaxed

- N(E_F): 9.6 states/eV/f.u.
- Formation energy from raw total energies: -14 kJ per mole of atoms

a = 6.633 Å, b = 6.633 Å, c = 12.586 Å
α = 74.72°, β = 74.72°, γ = 60.00°
Fractional coordinates of all 12 atoms:
1 Te 0.681 0.084 0.880
2 Te 0.645 0.319 0.120
3 Te 0.319 0.916 0.120
4 Te 0.355 0.681 0.880
5 Si 0.268 0.268 0.196
6 Te 0.800 0.800 0.600
7 Rh 0.000 0.000 0.000
8 Te 0.084 0.355 0.880
9 Si 0.732 0.732 0.804
10 Cs 0.500 0.500 0.500
11 Te 0.916 0.645 0.120
12 Te 0.200 0.200 0.400

# 19
Material: Ho3Tm2S4
Method: DFT, PBE
State: relaxed

- N(E_F): 5.6 states/eV/f.u.
- Formation energy from raw total energies: -167 kJ per mole of atoms

a = 3.810 Å, b = 3.810 Å, c = 15.814 Å
α = 90.01°, β = 89.99°, γ = 120.00°
Fractional coordinates of all 9 atoms:
1 Tm 0.333 0.667 0.205
2 Ho 0.000 0.000 0.000
3 S 0.667 0.333 0.104
4 S 0.333 0.667 0.896
5 S 0.000 0.000 0.304
6 S 0.000 0.000 0.696
7 Ho 0.334 0.666 0.589
8 Ho 0.666 0.334 0.411
9 Tm 0.667 0.333 0.795

# 20
Material: PmPr5Sb5
Method: DFT, PBE
State: relaxed

- N(E_F): 7.4 states/eV/f.u.
- Formation energy from raw total energies: -98 kJ per mole of atoms

a = 6.385 Å, b = 7.804 Å, c = 9.014 Å
α = 106.84°, β = 90.00°, γ = 114.15°
Fractional coordinates of all 11 atoms:
1 Sb 0.166 0.332 0.333
2 Pr 0.334 0.668 0.166
3 Sb 0.833 0.667 0.166
4 Pr 0.331 0.661 0.668
5 Pm 0.000 0.000 0.000
6 Pr 0.000 0.000 0.500
7 Sb 0.500 0.000 0.000
8 Pr 0.666 0.332 0.834
9 Sb 0.167 0.333 0.834
10 Pr 0.669 0.339 0.332
11 Sb 0.834 0.668 0.667

# 21
Material: Ag3W2
Method: DFT, PBE
State: relaxed

- N(E_F): 3.5 states/eV/f.u.
- Formation enthalpy at 0 K: 54.4 kJ/mol of atoms

a = 12.417 Å, b = 12.417 Å, c = 12.417 Å
α = 13.02°, β = 13.02°, γ = 13.02°
Fractional coordinates of all 5 atoms:
1 W 0.600 0.600 0.600
2 W 0.400 0.400 0.400
3 Ag 0.000 0.000 0.000
4 Ag 0.200 0.200 0.200
5 Ag 0.800 0.800 0.800

# 22
Material: LiMn2Al
Method: DFT, PBE
State: relaxed

- N(E_F): 3.4 states/eV/f.u.
- Formation enthalpy at 0 K: 5.7 kJ/mol of atoms

a = 4.024 Å, b = 2.599 Å, c = 5.001 Å
α = 79.98°, β = 90.00°, γ = 90.00°
Site moments in Bohr magnetons follow the coordinates.
Fractional coordinates of all 4 atoms:
1 Li 0.500 0.771 0.752  0.01
2 Mn 0.000 0.020 0.019  2.22
3 Mn 0.500 0.200 0.228  -2.23
4 Al 0.000 0.509 0.501  0.00

# 23
Material: CaThAlAg
Method: DFT, PBE
State: relaxed

- N(E_F): 2.2 states/eV/f.u.
- Formation enthalpy at 0 K: -15.8 kJ/mol of atoms

a = 5.276 Å, b = 5.276 Å, c = 5.276 Å
α = 60.00°, β = 60.00°, γ = 60.00°
Fractional coordinates of all 4 atoms:
1 Ca 0.500 0.500 0.500
2 Th 0.000 0.000 0.000
3 Al 0.750 0.750 0.750
4 Ag 0.250 0.250 0.250

# 24
Material: Zr6CdIn5
Method: DFT, PBE
State: relaxed

- N(E_F): 9.8 states/eV/f.u.
- Formation enthalpy at 0 K: -28.0 kJ/mol of atoms

a = 4.474 Å, b = 8.872 Å, c = 7.045 Å
α = 90.00°, β = 71.49°, γ = 90.00°
Fractional coordinates of all 12 atoms:
1 In 0.333 0.500 0.334
2 Zr 0.833 0.250 0.334
3 In 0.335 0.000 0.329
4 In 0.665 0.000 0.671
5 In 0.667 0.500 0.666
6 Zr 0.167 0.250 0.666
7 Zr 0.500 0.748 0.000
8 Cd 0.000 0.000 0.000
9 Zr 0.500 0.252 0.000
10 Zr 0.833 0.750 0.334
11 Zr 0.167 0.750 0.666
12 In 0.000 0.500 0.000